1.
UInS3 | PBE | relaxed

a b c (Å): 7.032 7.032 7.781
angles (deg): 63.14 63.14 60.00
Site moments in Bohr magnetons follow the coordinates.
Sites, in units of the cell vectors:
In  0.132  0.132  0.604  -0.01
In  0.868  0.868  0.396  -0.01
S  0.413  0.414  0.250  -0.06
S  0.587  0.076  0.750  -0.06
S  0.076  0.586  0.750  -0.06
S  0.414  0.924  0.250  -0.06
S  0.924  0.413  0.250  -0.06
S  0.586  0.587  0.750  -0.06
U  0.663  0.663  0.012  1.18
U  0.337  0.337  0.988  1.18

SG = R-3m, No. 166
electronic total energy = -30.78 eV/f.u.

***

2.
U2InS6 | PBE | relaxed

a b c (Å): 6.214 6.214 12.097
angles (deg): 90.00 90.00 90.00
Site moments in Bohr magnetons follow the coordinates.
Sites, in units of the cell vectors:
S  0.691  0.691  0.000  -0.06
S  0.697  0.697  0.333  -0.06
S  0.697  0.697  0.667  -0.06
S  0.303  0.303  0.667  -0.06
S  0.197  0.803  0.167  -0.06
S  0.809  0.191  0.500  -0.06
S  0.803  0.197  0.167  -0.06
S  0.197  0.803  0.833  -0.06
S  0.191  0.809  0.500  -0.06
S  0.303  0.303  0.333  -0.06
S  0.803  0.197  0.833  -0.06
S  0.309  0.309  0.000  -0.06
U  0.000  0.000  0.333  1.59
U  0.500  0.500  0.167  1.59
U  0.500  0.500  0.833  1.59
U  0.000  0.000  0.667  1.59
In  0.500  0.500  0.500  0.07
In  0.000  0.000  0.000  0.07

SG = P4_2/mnm, No. 136
electronic total energy = -58.94 eV/f.u.

***

3.
UIn2S6 | PBE | relaxed

a b c (Å): 7.074 8.472 8.472
angles (deg): 82.77 83.49 83.49
Site moments in Bohr magnetons follow the coordinates.
Sites, in units of the cell vectors:
S  0.341  0.729  0.515  0.01
S  0.663  0.630  0.116  0.01
S  0.163  0.116  0.630  0.01
S  0.841  0.515  0.729  0.01
S  0.837  0.884  0.370  0.01
S  0.659  0.271  0.485  0.01
S  0.159  0.485  0.271  0.01
S  0.098  0.820  0.960  0.01
S  0.337  0.370  0.884  0.01
S  0.902  0.180  0.040  0.01
S  0.402  0.040  0.180  0.01
S  0.598  0.960  0.820  0.01
In  0.352  0.258  0.390  0.00
In  0.148  0.610  0.742  0.00
In  0.648  0.742  0.610  0.00
In  0.852  0.390  0.258  0.00
U  0.750  0.905  0.095  -0.19
U  0.250  0.095  0.905  -0.19

SG = C2/c, No. 15
electronic total energy = -47.19 eV/f.u.

***

4.
UInS2 | PBE | relaxed

a b c (Å): 3.404 3.404 7.753
angles (deg): 90.00 90.00 90.00
Site moments in Bohr magnetons follow the coordinates.
Sites, in units of the cell vectors:
U  0.500  0.500  0.000  2.36
S  0.000  0.000  0.803  -0.07
S  0.000  0.000  0.197  -0.07
In  0.500  0.500  0.500  0.03

SG = P4/mmm, No. 123
electronic total energy = -25.78 eV/f.u.

***

5.
U3InS6 | PBE | relaxed

a b c (Å): 4.071 8.523 8.523
angles (deg): 110.26 90.00 90.00
Site moments in Bohr magnetons follow the coordinates.
Sites, in units of the cell vectors:
S  0.000  0.329  0.072  -0.08
S  0.500  0.677  0.323  -0.08
S  0.000  0.072  0.329  -0.08
S  0.000  0.671  0.928  -0.08
S  0.000  0.928  0.671  -0.08
S  0.500  0.323  0.677  -0.08
In  0.000  0.500  0.500  -0.01
U  0.500  0.500  0.000  1.97
U  0.000  0.000  0.000  2.63
U  0.500  0.000  0.500  1.97

SG = Cmmm, No. 65
electronic total energy = -71.25 eV/f.u.

***

6.
UInS3 | PBE | relaxed

a b c (Å): 4.103 7.339 8.431
angles (deg): 102.85 104.08 90.00
Site moments in Bohr magnetons follow the coordinates.
Sites, in units of the cell vectors:
S  0.661  0.974  0.321  -0.06
S  0.809  0.401  0.617  -0.07
S  0.191  0.599  0.383  -0.07
S  0.339  0.026  0.679  -0.06
S  0.050  0.203  0.099  -0.05
S  0.950  0.797  0.901  -0.05
U  0.785  0.764  0.570  2.01
U  0.215  0.236  0.430  2.01
In  0.476  0.300  0.952  0.03
In  0.524  0.700  0.048  0.03

SG = C2/m, No. 12
electronic total energy = -31.19 eV/f.u.

***

7.
UInS2 | PBE | relaxed

a b c (Å): 3.892 3.892 8.278
angles (deg): 76.40 76.40 60.00
Site moments in Bohr magnetons follow the coordinates.
Sites, in units of the cell vectors:
In  0.501  0.501  0.498  0.05
S  0.268  0.268  0.197  -0.07
S  0.065  0.065  0.806  -0.06
U  0.667  0.667  0.000  2.48

SG = R3m, No. 160
electronic total energy = -26.01 eV/f.u.

***

8.
UInS4 | PBE | relaxed

a b c (Å): 3.918 7.424 6.522
angles (deg): 113.67 90.00 105.30
Site moments in Bohr magnetons follow the coordinates.
Sites, in units of the cell vectors:
S  0.114  0.229  0.462  -0.05
S  0.886  0.771  0.538  -0.05
S  0.610  0.220  0.939  -0.04
S  0.390  0.780  0.061  -0.04
U  0.500  0.000  0.500  1.19
In  0.000  0.000  0.000  0.00

SG = C2/m, No. 12
electronic total energy = -35.92 eV/f.u.

***

9.
UInS2 | PBE | relaxed

a b c (Å): 3.953 3.953 7.989
angles (deg): 75.68 75.68 60.00
Site moments in Bohr magnetons follow the coordinates.
Sites, in units of the cell vectors:
S  0.734  0.734  0.799  -0.06
S  0.266  0.266  0.201  -0.06
In  0.500  0.500  0.500  0.03
U  0.000  0.000  0.000  2.60

SG = R-3m, No. 166
electronic total energy = -26.03 eV/f.u.

***

10.
UInS2 | PBE | relaxed

a b c (Å): 3.691 3.691 8.722
angles (deg): 77.78 77.78 60.00
Site moments in Bohr magnetons follow the coordinates.
Sites, in units of the cell vectors:
S  0.895  0.895  0.316  -0.02
S  0.105  0.105  0.684  -0.02
U  0.000  0.000  0.000  2.72
In  0.500  0.500  0.500  0.05

SG = R-3m, No. 166
electronic total energy = -23.12 eV/f.u.

***

11.
UInS | PBE | relaxed

a b c (Å): 3.823 3.823 10.604
angles (deg): 100.91 100.91 89.87
Site moments in Bohr magnetons follow the coordinates.
Sites, in units of the cell vectors:
S  0.184  0.184  0.864  -0.07
S  0.816  0.816  0.136  -0.07
U  0.316  0.316  0.133  2.32
U  0.684  0.684  0.867  2.32
In  0.805  0.805  0.580  0.01
In  0.195  0.195  0.420  0.01

SG = C2/m, No. 12
electronic total energy = -20.19 eV/f.u.

***

12.
V3InS | PBE | relaxed

a b c (Å): 4.345 4.345 4.345
angles (deg): 90.00 90.00 90.00
Site moments in Bohr magnetons follow the coordinates.
Sites, in units of the cell vectors:
In  0.500  0.500  0.500  -0.03
S  0.000  0.000  0.000  -0.04
V  0.500  0.000  0.000  0.73
V  0.000  0.500  0.000  0.73
V  0.000  0.000  0.500  0.73

SG = Pm-3m, No. 221
electronic total energy = -34.34 eV/f.u.

***

13.
VIn2S4 | PBE | relaxed

a b c (Å): 7.540 7.602 7.602
angles (deg): 60.27 60.27 60.27
Site moments in Bohr magnetons follow the coordinates.
Sites, in units of the cell vectors:
S  0.280  0.731  0.231  0.00
S  0.242  0.269  0.769  0.00
S  0.256  0.711  0.778  -0.03
S  0.744  0.722  0.789  -0.03
S  0.758  0.731  0.231  0.00
S  0.744  0.289  0.222  -0.03
S  0.256  0.278  0.211  -0.03
S  0.720  0.269  0.769  0.00
V  0.000  0.500  0.000  2.31
V  0.500  0.500  0.000  2.31
In  0.870  0.880  0.380  0.05
In  0.500  0.500  0.500  0.06
In  0.500  0.000  0.000  0.06
In  0.130  0.120  0.620  0.05

SG = Imma, No. 74
electronic total energy = -35.54 eV/f.u.

***

14.
VInS2 | PBE | relaxed

a b c (Å): 3.236 3.236 8.721
angles (deg): 79.13 79.13 60.05
Sites, in units of the cell vectors:
In  0.500  0.500  0.501
S  0.058  0.058  0.828
S  0.275  0.275  0.171
V  0.666  0.666  0.000

SG = Cm, No. 8
electronic total energy = -22.74 eV/f.u.

***

15.
VInS2 | PBE | relaxed

a b c (Å): 7.941 7.941 7.941
angles (deg): 27.53 27.53 27.53
Site moments in Bohr magnetons follow the coordinates.
Sites, in units of the cell vectors:
S  0.898  0.898  0.898  -0.03
S  0.102  0.102  0.102  -0.03
In  0.500  0.500  0.500  0.09
V  0.000  0.000  0.000  2.69

SG = R-3m, No. 166
electronic total energy = -20.28 eV/f.u.

***

16.
VIn2S2 | PBE | relaxed

a b c (Å): 5.253 5.253 5.638
angles (deg): 62.23 62.23 90.00
Site moments in Bohr magnetons follow the coordinates.
Sites, in units of the cell vectors:
In  0.338  0.338  0.323  0.01
In  0.662  0.662  0.677  0.01
V  0.000  0.000  0.000  3.02
S  0.250  0.750  0.500  -0.01
S  0.750  0.250  0.500  -0.01

SG = I4/mmm, No. 139
electronic total energy = -21.44 eV/f.u.

***

17.
V9InS12 | PBE | relaxed

a b c (Å): 9.705 9.705 9.705
angles (deg): 109.50 109.50 109.50
Sites, in units of the cell vectors:
S  0.883  0.830  0.538
S  0.130  0.783  0.836
S  0.504  0.797  0.451
S  0.117  0.170  0.462
S  0.217  0.164  0.870
S  0.797  0.451  0.504
S  0.836  0.130  0.783
S  0.538  0.883  0.830
S  0.916  0.583  0.250
S  0.750  0.084  0.417
S  0.417  0.750  0.084
S  0.496  0.203  0.549
S  0.250  0.916  0.583
S  0.462  0.117  0.170
S  0.164  0.870  0.217
S  0.170  0.462  0.117
S  0.203  0.549  0.496
S  0.084  0.417  0.750
S  0.583  0.250  0.916
S  0.451  0.504  0.797
S  0.549  0.496  0.203
S  0.870  0.217  0.164
S  0.783  0.836  0.130
S  0.830  0.538  0.883
V  0.296  0.670  0.786
V  0.628  0.003  0.119
V  0.335  0.451  0.962
V  0.549  0.038  0.665
V  0.214  0.704  0.330
V  0.119  0.628  0.003
V  0.665  0.549  0.038
V  0.997  0.881  0.372
V  0.003  0.119  0.628
V  0.038  0.665  0.549
V  0.330  0.214  0.704
V  0.451  0.962  0.335
V  0.670  0.786  0.296
V  0.372  0.997  0.881
V  0.704  0.330  0.214
V  0.881  0.372  0.997
V  0.786  0.296  0.670
V  0.962  0.335  0.451
In  0.000  0.000  0.000
In  0.500  0.500  0.500

SG = R-3, No. 148
electronic total energy = -155.53 eV/f.u.

***

18.
V3InS6 | PBE | relaxed

a b c (Å): 6.741 7.345 7.345
angles (deg): 104.46 90.00 90.00
Site moments in Bohr magnetons follow the coordinates.
Sites, in units of the cell vectors:
S  0.105  0.773  0.227  -0.12
S  0.968  0.001  0.999  -0.10
S  0.710  0.641  0.696  -0.10
S  0.710  0.304  0.359  -0.10
S  0.787  0.530  0.100  -0.10
S  0.787  0.900  0.470  -0.10
S  0.210  0.696  0.641  -0.10
S  0.468  0.999  0.001  -0.10
S  0.210  0.359  0.304  -0.10
S  0.605  0.227  0.773  -0.12
S  0.287  0.100  0.530  -0.10
S  0.287  0.470  0.900  -0.10
V  0.935  0.586  0.414  1.44
V  0.435  0.414  0.586  1.44
V  0.498  0.908  0.671  1.44
V  0.498  0.329  0.092  1.44
V  0.998  0.671  0.908  1.44
V  0.998  0.092  0.329  1.44
In  0.488  0.776  0.224  -0.02
In  0.988  0.224  0.776  -0.02

SG = Cmc2_1, No. 36
electronic total energy = -60.85 eV/f.u.

***

19.
VInS2 | PBE | relaxed

a b c (Å): 6.794 6.794 6.517
angles (deg): 58.58 58.58 90.00
Site moments in Bohr magnetons follow the coordinates.
Sites, in units of the cell vectors:
V  0.250  0.750  0.500  1.86
V  0.500  0.500  0.000  1.86
S  0.375  0.470  0.750  -0.10
S  0.220  0.625  0.250  -0.10
S  0.530  0.125  0.250  -0.10
S  0.875  0.780  0.750  -0.10
In  0.750  0.250  0.500  0.00
In  0.000  0.000  0.000  0.00

SG = I-42d, No. 122
electronic total energy = -22.10 eV/f.u.

***

20.
V6InS8 | PBE | relaxed

a b c (Å): 9.172 9.172 3.231
angles (deg): 90.00 90.00 120.00
Sites, in units of the cell vectors:
In  0.667  0.333  0.485
V  0.782  0.823  0.751
V  0.041  0.218  0.751
V  0.156  0.708  0.253
V  0.292  0.448  0.253
V  0.177  0.959  0.751
V  0.552  0.844  0.253
S  0.374  0.988  0.249
S  0.719  0.041  0.754
S  0.321  0.281  0.754
S  0.959  0.679  0.754
S  0.000  0.000  0.251
S  0.333  0.667  0.752
S  0.012  0.386  0.249
S  0.614  0.626  0.249

SG = P3, No. 143
electronic total energy = -104.43 eV/f.u.

***

21.
V3InS | PBE | relaxed

a b c (Å): 5.017 5.017 5.017
angles (deg): 90.00 90.00 90.00
Site moments in Bohr magnetons follow the coordinates.
Sites, in units of the cell vectors:
V  0.500  0.000  0.000  2.45
V  0.000  0.000  0.500  2.45
V  0.000  0.500  0.000  2.45
S  0.500  0.500  0.500  -0.25
In  0.000  0.000  0.000  -0.09

SG = Pm-3m, No. 221
electronic total energy = -25.90 eV/f.u.

***

22.
VIn2S2 | PBE | relaxed

a b c (Å): 7.679 7.679 3.782
angles (deg): 90.00 90.00 90.00
Site moments in Bohr magnetons follow the coordinates.
Sites, in units of the cell vectors:
In  0.127  0.373  0.000  0.04
In  0.373  0.873  0.000  0.04
In  0.873  0.627  0.000  0.04
In  0.627  0.127  0.000  0.04
S  0.790  0.290  0.500  -0.01
S  0.290  0.210  0.500  -0.01
S  0.710  0.790  0.500  -0.01
S  0.210  0.710  0.500  -0.01
V  0.000  0.000  0.000  3.01
V  0.500  0.500  0.000  3.01

SG = P4/mbm, No. 127
electronic total energy = -21.38 eV/f.u.

***

| no. | size of the total moment (μB/atom) |
| --- | --- |
| 1 | 0.200 |
| 2 | 0.332 |
| 3 | 0.012 |
| 4 | 0.651 |
| 5 | 0.688 |
| 6 | 0.401 |
| 7 | 0.724 |
| 8 | 0.167 |
| 9 | 0.754 |
| 10 | 0.807 |
| 11 | 0.875 |
| 12 | 0.478 |
| 13 | 0.405 |
| 14 | 0.000 |
| 15 | 0.890 |
| 16 | 0.735 |
| 17 | 0.000 |
| 18 | 0.414 |
| 19 | 0.500 |
| 20 | 0.000 |
| 21 | 1.647 |
| 22 | 0.772 |